Record 1
First-principles (PBE) data for crystalline AcLa2Au3 at its relaxed geometry, as listed in the Alexandria database.

theoretical density: 10.832 Mg/m³
magnetic moment: 0.00 μB/f.u.
ΔE to the lowest computed polymorph: 1 kJ/mol of formula units
D(E_F): 10.24 states/eV per cell
energy of formation: -0.78 eV/atom

Cell lengths 5.441, 7.581, 8.577 Å; angles 90.00, 108.28, 90.00 degrees
Fractional positions:
Ac: 0.166 0.000 0.332
Ac: 0.834 0.000 0.668
La: 0.166 0.500 0.333
La: 0.500 0.000 0.000
La: 0.500 0.500 0.000
La: 0.834 0.500 0.667
Au: 0.000 0.257 0.000
Au: 0.000 0.743 0.000
Au: 0.336 0.261 0.673
Au: 0.336 0.739 0.673
Au: 0.664 0.261 0.327
Au: 0.664 0.739 0.327

---

Record 2
First-principles (PBE) data for crystalline Ac2La2Au3 at its relaxed geometry, as listed in the Alexandria database.

theoretical density: 9.973 Mg/m³
magnetic moment: 0.00 μB/f.u.
D(E_F): 22.95 states/eV per cell
energy of formation: -0.63 eV/atom

Cell lengths 8.302, 8.302, 8.302 Å; angles 109.47, 109.47, 109.47 degrees
Fractional positions:
Ac: 0.000 0.124 0.500
Ac: 0.124 0.500 0.000
Ac: 0.376 0.376 0.376
Ac: 0.500 0.000 0.124
La: 0.000 0.626 0.500
La: 0.500 0.000 0.626
La: 0.626 0.500 0.000
La: 0.874 0.874 0.874
Au: 0.123 0.873 0.250
Au: 0.250 0.123 0.873
Au: 0.377 0.627 0.750
Au: 0.627 0.750 0.377
Au: 0.750 0.377 0.627
Au: 0.873 0.250 0.123

---

Record 3
First-principles (PBE) data for crystalline AcLa3Au2 at its relaxed geometry, as listed in the Alexandria database.

theoretical density: 9.056 Mg/m³
magnetic moment: 0.00 μB/f.u.
ΔE to the lowest computed polymorph: 30 kJ/mol of formula units
D(E_F): 12.59 states/eV per cell
energy of formation: -0.50 eV/atom

Cell lengths 9.292, 9.292, 9.801 Å; angles 116.33, 116.33, 30.42 degrees
Fractional positions:
Ac: 0.113 0.113 0.037
Ac: 0.887 0.887 0.963
La: 0.059 0.059 0.394
La: 0.288 0.288 0.616
La: 0.363 0.363 0.275
La: 0.637 0.637 0.725
La: 0.712 0.712 0.384
La: 0.941 0.941 0.606
Au: 0.249 0.249 0.902
Au: 0.485 0.485 0.832
Au: 0.515 0.515 0.168
Au: 0.751 0.751 0.098

---

Record 4
First-principles (PBE) data for crystalline Ac2La5Au3 at its relaxed geometry, as listed in the Alexandria database.

theoretical density: 8.815 Mg/m³
magnetic moment: 0.00 μB/f.u.
D(E_F): 25.18 states/eV per cell
energy of formation: -0.47 eV/atom

Cell lengths 15.665, 15.665, 8.192 Å; angles 90.00, 90.00, 160.97 degrees
Fractional positions:
Ac: 0.027 0.973 0.500
Ac: 0.328 0.672 0.478
Ac: 0.672 0.328 0.978
Ac: 0.973 0.027 0.000
La: 0.097 0.903 0.120
La: 0.203 0.797 0.683
La: 0.209 0.791 0.251
La: 0.373 0.627 0.958
La: 0.451 0.549 0.332
La: 0.549 0.451 0.832
La: 0.627 0.373 0.458
La: 0.791 0.209 0.751
La: 0.797 0.203 0.183
La: 0.903 0.097 0.620
Au: 0.106 0.894 0.747
Au: 0.270 0.730 0.964
Au: 0.455 0.545 0.716
Au: 0.545 0.455 0.216
Au: 0.730 0.270 0.464
Au: 0.894 0.106 0.247

---

Record 5
First-principles (PBE) data for crystalline Ac2LaAu3 at its relaxed geometry, as listed in the Alexandria database.

theoretical density: 11.326 Mg/m³
magnetic moment: 0.00 μB/f.u.
D(E_F): 4.13 states/eV per cell
energy of formation: -0.77 eV/atom

Cell lengths 3.867, 3.867, 11.605 Å; angles 90.00, 90.00, 90.00 degrees
Fractional positions:
Ac: 0.000 0.000 0.170
Ac: 0.000 0.000 0.830
La: 0.000 0.000 0.500
Au: 0.500 0.500 0.000
Au: 0.500 0.500 0.345
Au: 0.500 0.500 0.655

---

Record 6
First-principles (PBE) data for crystalline Ac2La3Au4 at its relaxed geometry, as listed in the Alexandria database.

theoretical density: 10.006 Mg/m³
magnetic moment: 0.00 μB/f.u.
D(E_F): 18.80 states/eV per cell
energy of formation: -0.71 eV/atom

Cell lengths 8.267, 7.994, 8.824 Å; angles 90.00, 109.26, 90.00 degrees
Fractional positions:
Ac: 0.194 0.171 0.096
Ac: 0.194 0.329 0.596
Ac: 0.806 0.671 0.404
Ac: 0.806 0.829 0.904
La: 0.240 0.649 0.254
La: 0.240 0.851 0.754
La: 0.500 0.000 0.500
La: 0.500 0.500 0.000
La: 0.760 0.149 0.246
La: 0.760 0.351 0.746
Au: 0.099 0.542 0.882
Au: 0.099 0.958 0.382
Au: 0.489 0.633 0.625
Au: 0.489 0.867 0.125
Au: 0.511 0.133 0.875
Au: 0.511 0.367 0.375
Au: 0.901 0.042 0.618
Au: 0.901 0.458 0.118

---

Record 7
First-principles (PBE) data for crystalline Ac2LaAu at its relaxed geometry, as listed in the Alexandria database.

theoretical density: 8.539 Mg/m³
magnetic moment: 0.00 μB/f.u.
ΔE to the lowest computed polymorph: 46 kJ/mol of formula units
D(E_F): 5.12 states/eV per cell
energy of formation: -0.28 eV/atom

Cell lengths 10.707, 10.707, 10.707 Å; angles 22.20, 22.20, 22.20 degrees
Fractional positions:
Ac: 0.000 0.000 0.000
Ac: 0.197 0.197 0.197
La: 0.431 0.431 0.431
Au: 0.598 0.598 0.598

---

Record 8
First-principles (PBE) data for crystalline Ac2LaAu5 at its relaxed geometry, as listed in the Alexandria database.

theoretical density: 12.293 Mg/m³
magnetic moment: 0.00 μB/f.u.
D(E_F): 6.58 states/eV per cell
energy of formation: -0.70 eV/atom

Cell lengths 8.252, 8.252, 8.252 Å; angles 141.83, 141.83, 55.09 degrees
Fractional positions:
Ac: 0.223 0.223 0.000
Ac: 0.777 0.777 0.000
La: 0.500 0.500 0.000
Au: 0.000 0.000 0.000
Au: 0.114 0.614 0.500
Au: 0.386 0.886 0.500
Au: 0.614 0.114 0.500
Au: 0.886 0.386 0.500

---

Record 9
First-principles (PBE) data for crystalline Ac2LaAu4 at its relaxed geometry, as listed in the Alexandria database.

theoretical density: 10.867 Mg/m³
magnetic moment: 0.00 μB/f.u.
D(E_F): 7.70 states/eV per cell
energy of formation: -0.67 eV/atom

Cell lengths 7.798, 7.798, 7.798 Å; angles 137.87, 137.87, 61.10 degrees
Fractional positions:
Ac: 0.213 0.213 0.000
Ac: 0.787 0.787 0.000
La: 0.500 0.500 0.000
Au: 0.112 0.612 0.500
Au: 0.388 0.888 0.500
Au: 0.612 0.112 0.500
Au: 0.888 0.388 0.500

---

Record 10
First-principles (PBE) data for crystalline Ac3LaAu2 at its relaxed geometry, as listed in the Alexandria database.

theoretical density: 8.847 Mg/m³
magnetic moment: 0.00 μB/f.u.
ΔE to the lowest computed polymorph: 59 kJ/mol of formula units
D(E_F): 16.88 states/eV per cell
energy of formation: -0.41 eV/atom

Cell lengths 9.284, 9.284, 9.284 Å; angles 131.46, 73.14, 128.90 degrees
Fractional positions:
Ac: 0.021 0.750 0.271
Ac: 0.250 0.250 0.000
Ac: 0.479 0.750 0.729
Ac: 0.521 0.250 0.271
Ac: 0.750 0.750 0.000
Ac: 0.979 0.250 0.729
La: 0.000 0.500 0.500
La: 0.500 0.000 0.500
Au: 0.140 0.203 0.343
Au: 0.360 0.703 0.063
Au: 0.640 0.297 0.937
Au: 0.860 0.797 0.657

---

Record 11
First-principles (PBE) data for crystalline AcLa4Au2 at its relaxed geometry, as listed in the Alexandria database.

theoretical density: 8.559 Mg/m³
magnetic moment: 0.00 μB/f.u.
D(E_F): 20.70 states/eV per cell
energy of formation: -0.41 eV/atom

Cell lengths 8.039, 6.939, 8.721 Å; angles 90.00, 110.21, 90.00 degrees
Fractional positions:
Ac: 0.146 0.250 0.026
Ac: 0.854 0.750 0.974
La: 0.009 0.250 0.397
La: 0.231 0.750 0.351
La: 0.396 0.014 0.759
La: 0.396 0.486 0.759
La: 0.604 0.514 0.241
La: 0.604 0.986 0.241
La: 0.769 0.250 0.649
La: 0.991 0.750 0.603
Au: 0.263 0.750 0.997
Au: 0.387 0.250 0.412
Au: 0.613 0.750 0.588
Au: 0.737 0.250 0.003

---

Record 12
First-principles (PBE) data for crystalline Ac2LaAu3 at its relaxed geometry, as listed in the Alexandria database.

theoretical density: 11.290 Mg/m³
magnetic moment: 0.00 μB/f.u.
D(E_F): 7.19 states/eV per cell
energy of formation: -0.77 eV/atom

Cell lengths 8.647, 8.647, 7.783 Å; angles 90.00, 90.00, 143.25 degrees
Fractional positions:
Ac: 0.000 0.000 0.000
Ac: 0.000 0.000 0.500
Ac: 0.333 0.667 0.000
Ac: 0.667 0.333 0.000
La: 0.334 0.666 0.500
La: 0.666 0.334 0.500
Au: 0.171 0.829 0.263
Au: 0.171 0.829 0.737
Au: 0.500 0.500 0.253
Au: 0.500 0.500 0.747
Au: 0.829 0.171 0.263
Au: 0.829 0.171 0.737

---

Number 1: energy -56.9 eV for the cell shown. Number 2: energy -64.7 eV for the cell shown. Number 3: energy -56.9 eV for the cell shown. Number 4: energy -94.8 eV for the cell shown. Number 5: energy -27.6 eV for the cell shown. Number 6: energy -85.0 eV for the cell shown. Number 7: energy -17.5 eV for the cell shown. Number 8: energy -35.1 eV for the cell shown. Number 9: energy -31.0 eV for the cell shown. Number 10: energy -52.6 eV for the cell shown. Number 11: energy -66.4 eV for the cell shown. Number 12: energy -55.2 eV for the cell shown.